Record 1
6
Lattice="2.4798 -8.1045 0.0000 2.4798 8.1045 0.0000 0.0000 0.0000 4.4719" Properties=species:S:1:pos:R:3 comment="GGA-PBE Sm3ErPb2, relaxed" e_above_lowest_polymorph_mev_per_atom=49 space_group="Cmmm, No. 65" crystal_system=orthorhombic pbc="T T T"
Sm 0.0000 0.0000 0.0000
Sm 2.4798 2.8463 0.0000
Sm 2.4798 -2.8463 0.0000
Er 2.4798 0.0000 2.2360
Pb 2.4798 5.6779 2.2360
Pb 2.4798 -5.6779 2.2360

***

Record 2
12
Lattice="12.8811 -2.6134 0.0000 12.8811 2.6134 0.0000 -0.9943 0.0000 5.1386" Properties=species:S:1:pos:R:3 comment="GGA-PBE Tl7Cd2Hg2Pb, relaxed" space_group="Cm, No. 8" crystal_system=monoclinic pbc="T T T"
Tl 0.0000 0.0000 0.0000
Tl 5.3462 0.0000 3.8434
Tl 7.9837 0.0000 1.6955
Tl 12.3830 0.0000 2.5662
Tl 15.0196 0.0000 0.4228
Tl 20.3658 0.0000 4.2666
Tl 23.0644 0.0000 2.1329
Cd 3.9855 0.0000 0.8846
Cd 16.3797 0.0000 3.3844
Hg 1.6594 0.0000 3.0466
Hg 18.7058 0.0000 1.2232
Pb 9.6865 0.0000 4.6982

***

Record 3
19
Lattice="5.4415 3.1416 4.6958 -5.4415 3.1416 4.6958 0.0000 -6.2833 4.6958" Properties=species:S:1:pos:R:3 comment="GGA-PBE Na12Ag6Ge, relaxed" space_group="R-3, No. 148" crystal_system=trigonal pbc="T T T"
Na -4.8560 1.0533 5.9406
Na -3.3402 -3.6788 8.1467
Na -1.8965 -0.3343 4.4677
Na 1.5159 -4.7321 5.9406
Na 1.2378 -1.4753 4.4677
Na 0.6588 1.8096 4.4677
Na -0.6588 -1.8096 9.6196
Na -1.2378 1.4753 9.6196
Na -1.5159 4.7321 8.1467
Na 1.8965 0.3343 9.6196
Na 3.3402 3.6788 5.9406
Na 4.8560 -1.0533 8.1467
Ag -0.8004 -2.6918 6.5542
Ag -2.7314 -0.6528 7.5331
Ag -1.9310 2.0391 6.5542
Ag 1.9310 -2.0391 7.5331
Ag 2.7314 0.6528 6.5542
Ag 0.8004 2.6918 7.5331
Ge 0.0000 0.0000 7.0436

***

Record 4
5
Lattice="-1.8652 1.8652 5.8472 1.8652 -1.8652 5.8472 1.8652 1.8652 -5.8472" Properties=species:S:1:pos:R:3 comment="GGA-PBE Tc2IrOs2, relaxed" e_above_lowest_polymorph_mev_per_atom=702 space_group="I4/mmm, No. 139" crystal_system=tetragonal pbc="T T T"
Tc 0.0000 0.0000 1.1729
Tc 0.0000 0.0000 10.5215
Ir 0.0000 0.0000 5.8472
Os 1.8652 0.0000 2.9236
Os 0.0000 1.8652 2.9236

***

Number 1: energy relative to the elements -384.2 meV/atom. Number 2: energy relative to the elements 23.0 meV/atom. Number 3: energy relative to the elements -5.8 meV/atom. Number 4: energy relative to the elements 691.2 meV/atom.